KRu3I | PBE | relaxed

Lattice parameters (Å, degrees): 4.968 4.968 4.968 90.00 90.00 90.00
Space group Pm-3m (No. 221)
One atom of each set of equivalent atoms:
1 K 0.000 0.000 0.000
2 Ru 0.000 0.500 0.500
3 I 0.500 0.500 0.500

Total magnetization, μB/atom: 0.758
Volume, Å³ per atom: 24.53
Formation energy without anion corrections, eV/atom: 1.592
Fermi-level density of states, states/eV per atom: 1.816
Distance to the lowest polymorph of the same formula, kJ per mole of atoms: 0.0



FeRhS2 | PBE | relaxed

Lattice parameters (Å, degrees): 3.1081 3.1081 21.5194 90.00 90.00 120.00
Space group R-3m (No. 166, hexagonal axes)
One atom of each set of equivalent atoms:
1 Fe 0.0000 0.0000 0.0000
2 Rh 0.0000 0.0000 0.5000
3 S 0.0000 0.0000 0.3957

Total magnetization, μB/atom: 0.292
Volume, Å³ per atom: 15.00
Formation energy without anion corrections, eV/atom: -0.193
Fermi-level density of states, states/eV per atom: 1.098



SbSeN2Cl | PBE | relaxed

Lattice parameters (Å, degrees): 4.143 4.143 4.887 90.00 90.00 90.00
Space group P4/mmm (No. 123)
One atom of each set of equivalent atoms:
1 Sb 0.000 0.000 0.000
2 Se 0.500 0.500 0.000
3 N 0.000 0.500 0.500
4 Cl 0.500 0.500 0.500

Total magnetization, μB/atom: 0.286
Volume, Å³ per atom: 16.77
Formation energy without anion corrections, eV/atom: 1.990
Fermi-level density of states, states/eV per atom: 0.412
Distance to the lowest polymorph of the same formula, kJ per mole of atoms: 67.1



Pm4Te2PN | PBE | relaxed

Lattice parameters (Å, degrees): 7.038 4.062 7.571 90.00 108.05 90.00
Space group P2/m (No. 10)
One atom of each set of equivalent atoms:
1 Pm 0.215 0.000 0.195
2 Pm 0.243 0.500 0.800
3 Te 0.000 0.000 0.500
4 Te 0.500 0.500 0.500
5 P 0.500 0.000 0.000
6 N 0.000 0.500 0.000

Total magnetization, μB/atom: 0.000
Volume, Å³ per atom: 25.73
Formation energy without anion corrections, eV/atom: -1.424
Fermi-level density of states, states/eV per atom: 0.408



Tb2Ho3ErBi6 | PBE | relaxed

Lattice parameters (Å, degrees): 19.458 4.464 8.931 90.00 103.20 90.00
Space group C2/m (No. 12)
One atom of each set of equivalent atoms:
1 Tb 0.166 0.000 0.333
2 Ho 0.000 0.500 0.500
3 Ho 0.167 0.000 0.833
4 Er 0.000 0.500 0.000
5 Bi 0.001 0.000 0.751
6 Bi 0.166 0.500 0.081
7 Bi 0.166 0.500 0.584

Total magnetization, μB/atom: 0.000
Volume, Å³ per atom: 31.47
ΔH_f (0 K), kJ/mol of formula units: -980.3
Fermi-level density of states, states/eV per atom: 0.166



MgZnMo2 | PBE | relaxed

Lattice parameters (Å, degrees): 9.276 2.691 5.178 90.00 94.45 90.00
Space group Cm (No. 8)
One atom of each set of equivalent atoms:
1 Mg 0.000 0.000 0.000
2 Zn 0.250 0.500 0.226
3 Mo 0.247 0.000 0.716
4 Mo 0.489 0.000 0.500

Total magnetization, μB/atom: 0.000
Volume, Å³ per atom: 16.11
ΔH_f (0 K), kJ/mol of formula units: 84.5
Fermi-level density of states, states/eV per atom: 0.413
Distance to the lowest polymorph of the same formula, kJ per mole of atoms: 8.9



Q: Which value of Fermi-level density of states does entry 6 give?
A: 0.413 states/eV per atom



Q: The lowest volume belongs to which entry?
A: FeRhS2



Q: Among the records above, which one has the lowest volume?
A: FeRhS2